VASP calculation (PBE) on a geometry-optimized PaMn2Sn structure. Values from VASP.

Cell and atoms, written as Quantum ESPRESSO input:
```
&SYSTEM
  ibrav = 0, nat = 4, ntyp = 3
/
ATOMIC_SPECIES
Mn 54.94 Mn.upf
Sn 118.71 Sn.upf
Pa 231.04 Pa.upf
CELL_PARAMETERS angstrom
3.3808 0.0000 0.0000
1.6904 2.9279 0.0000
1.6904 0.9760 7.4944
ATOMIC_POSITIONS crystal
Mn 0.7460 0.7460 0.7620
Sn 0.5000 0.5000 0.5000
Pa 0.0000 0.0000 0.0000
Mn 0.2540 0.2540 0.2380
```

Summary:
Its space-group type is R-3m, No. 166. For the energy, the calculation gives -7.58 eV per atom.

***

VASP calculation (PBE) on a geometry-optimized PaMnVSn structure. Values from VASP.

Cell and atoms, written as Quantum ESPRESSO input:
```
&SYSTEM
  ibrav = 0, nat = 4, ntyp = 4
/
ATOMIC_SPECIES
Pa 231.04 Pa.upf
V 50.94 V.upf
Mn 54.94 Mn.upf
Sn 118.71 Sn.upf
CELL_PARAMETERS angstrom
4.6554 0.0000 0.0000
2.3277 4.0317 0.0000
2.3277 1.3439 3.8011
ATOMIC_POSITIONS crystal
Pa 0.5000 0.5000 0.5000
V 0.2500 0.2500 0.2500
Mn 0.7500 0.7500 0.7500
Sn 0.0000 0.0000 0.0000
```

Summary:
Its space-group type is F-43m, No. 216. For the energy, the calculation gives -7.94 eV per atom.

***

VASP calculation (PBE) on a geometry-optimized Sr2PaMnTe5 structure. Values from VASP.

Cell and atoms, written as Quantum ESPRESSO input:
```
&SYSTEM
  ibrav = 0, nat = 18, ntyp = 4
/
ATOMIC_SPECIES
Mn 54.94 Mn.upf
Sr 87.62 Sr.upf
Te 127.60 Te.upf
Pa 231.04 Pa.upf
CELL_PARAMETERS angstrom
-3.2120 2.1427 -2.2451
4.6815 -5.1899 -7.2081
-8.5809 -10.6602 2.1024
ATOMIC_POSITIONS crystal
Mn 0.5681 0.1363 0.9350
Sr 0.8836 0.7672 0.8275
Sr 0.1150 0.2300 0.6891
Te 0.5012 0.0024 0.7684
Te 0.3019 0.6039 0.3625
Te 0.2973 0.5946 0.6723
Te 0.6447 0.2894 0.5097
Sr 0.8850 0.7700 0.1891
Pa 0.8002 0.6004 0.5192
Mn 0.4319 0.8637 0.4350
Te 0.7027 0.4054 0.1723
Te 0.0460 0.0920 0.0402
Te 0.9540 0.9080 0.5402
Te 0.3553 0.7106 0.0097
Te 0.4988 0.9976 0.2684
Pa 0.1998 0.3996 0.0192
Sr 0.1164 0.2328 0.3275
Te 0.6981 0.3961 0.8625
```

Summary:
Its space-group type is Cmc2_1, No. 36. As for the uncorrected formation energy: -9.428 eV/f.u.

***

VASP calculation (PBE) on a geometry-optimized Pa2TaMn structure. Values from VASP.

Cell and atoms, written as Quantum ESPRESSO input:
```
&SYSTEM
  ibrav = 0, nat = 4, ntyp = 3
/
ATOMIC_SPECIES
Pa 231.04 Pa.upf
Mn 54.94 Mn.upf
Ta 180.95 Ta.upf
CELL_PARAMETERS angstrom
-0.5673 -0.7860 2.8712
-1.5023 -2.5623 0.6009
8.1063 -6.1916 1.5059
ATOMIC_POSITIONS crystal
Pa 0.9232 0.9232 0.2304
Pa 0.0768 0.0768 0.7696
Mn 0.0000 0.0000 0.0000
Ta 0.5000 0.5000 0.5000
```

Summary:
Its space-group type is R-3m, No. 166. For the energy, the calculation gives -9.56 eV per atom.

***

VASP calculation (PBE) on a geometry-optimized PaTaMn structure. Values from VASP.

Cell and atoms, written as Quantum ESPRESSO input:
```
&SYSTEM
  ibrav = 0, nat = 3, ntyp = 3
/
ATOMIC_SPECIES
Ta 180.95 Ta.upf
Mn 54.94 Mn.upf
Pa 231.04 Pa.upf
CELL_PARAMETERS angstrom
3.0749 0.0000 0.0000
0.0000 3.0749 0.0000
-1.5375 -1.5375 5.7936
ATOMIC_POSITIONS crystal
Ta 0.3021 0.3021 0.6042
Mn 0.6827 0.6827 0.3655
Pa 0.0152 0.0152 0.0304
```

Summary:
Its space-group type is I4mm, No. 107. For the energy, the calculation gives -10.08 eV per atom.

***

VASP calculation (PBE) on a geometry-optimized PaTaMn2 structure. Values from VASP.

Cell and atoms, written as Quantum ESPRESSO input:
```
&SYSTEM
  ibrav = 0, nat = 4, ntyp = 3
/
ATOMIC_SPECIES
Mn 54.94 Mn.upf
Pa 231.04 Pa.upf
Ta 180.95 Ta.upf
CELL_PARAMETERS angstrom
-2.1985 -0.3591 -2.1222
2.1400 -0.0396 -2.2102
0.5108 -6.7687 0.6160
ATOMIC_POSITIONS crystal
Mn 0.0000 0.0000 0.7824
Mn 0.0000 0.0000 0.2176
Pa 0.5000 0.5000 0.5000
Ta 0.5000 0.5000 0.0000
```

Summary:
Its space-group type is P4/mmm, No. 123. For the energy, the calculation gives -9.88 eV per atom.